(1)
VASP calculation (GGA-PBEsol) on a relaxed structure of LaTc2Ge2.

a b c (Å): 4.1463 4.1463 10.7864
angles (deg): 90.00 90.00 90.00
Space group I4/mmm (No. 139)
Asymmetric unit:
La: 0.0000 0.0000 0.0000
Tc: 0.0000 0.5000 0.2500
Ge: 0.0000 0.0000 0.3766

## Properties
Mass density in g/cm³: 8.60
Energy of formation from the pure elements in eV/atom: -0.424


(2)
VASP calculation (GGA-PBEsol) on a relaxed structure of LaGe2Te2.

a b c (Å): 3.9288 3.9288 17.3920
angles (deg): 90.00 90.00 90.00
Space group I4/mmm (No. 139)
Asymmetric unit:
La: 0.0000 0.0000 0.0000
Ge: 0.0000 0.5000 0.2500
Te: 0.0000 0.0000 0.3993

## Properties
Mass density in g/cm³: 6.67
Uncorrected formation energy in kcal/mol of atoms: -12.0


(3)
VASP calculation (GGA-PBEsol) on a relaxed structure of LaTiGe3.

a b c (Å): 6.2557 6.2557 5.8256
angles (deg): 90.00 90.00 120.00
Space group P6_3/mmc (No. 194)
Asymmetric unit:
La: 0.3333 0.6667 0.2500
Ti: 0.0000 0.0000 0.0000
Ge: 0.1969 0.3939 0.7500

## Properties
Mass density in g/cm³: 6.81
Energy of formation from the pure elements in eV/atom: -0.778


mass density of number 1 (LaTc2Ge2)? 8.60 g/cm³


The highest mass density belongs to which entry? LaTc2Ge2


Which value of mass density does entry 1 give? 8.60 g/cm³


The lowest mass density belongs to which entry? LaGe2Te2